(1)
## La4ReSe (PBE)

Data for a relaxed structure of La4ReSe.

Properties
SG   No. 216
Uncorrected formation energy   0.657 eV/atom
Crystal system   cubic

a b c (Å): 6.1803 6.1803 6.1803
angles (deg): 60.00 60.00 60.00
Closest atoms and distances in Å follow each position.
Fractional positions:
1 Re 0.7500 0.7500 0.7500  12 La 3.62, 4 Se 3.78
2 La 0.3761 0.3761 0.3761  6 La 3.06-3.12
3 La 0.3761 0.3761 0.8718  6 La 3.06-3.12
4 La 0.3761 0.8718 0.3761  6 La 3.06-3.12
5 La 0.8718 0.3761 0.3761  6 La 3.06-3.12
6 Se 0.0000 0.0000 0.0000  12 La 3.63, 4 Re 3.78



(2)
## AlIn2Co2 (PBE)

Data for a relaxed structure of AlIn2Co2.

Properties
Energy of formation from the pure elements   0.278 eV/atom
SG   No. 127
Crystal system   tetragonal

a b c (Å): 7.4705 7.4705 2.9224
angles (deg): 90.00 90.00 90.00
Closest atoms and distances in Å follow each position.
Fractional positions:
1 Al 0.5000 0.5000 0.0000  4 In 2.89, 2 Al 2.92, 8 Co 3.16
2 Al 0.0000 0.0000 0.0000  4 In 2.89, 2 Al 2.92, 8 Co 3.16
3 Co 0.6602 0.8398 0.5000  6 In 2.57-2.68
4 Co 0.3398 0.1602 0.5000  6 In 2.57-2.68
5 Co 0.8398 0.3398 0.5000  6 In 2.57-2.68
6 Co 0.1602 0.6602 0.5000  6 In 2.57-2.68
7 In 0.1394 0.3606 0.0000  6 Co 2.57-2.68
8 In 0.8606 0.6394 0.0000  6 Co 2.57-2.68
9 In 0.6394 0.1394 0.0000  6 Co 2.57-2.68
10 In 0.3606 0.8606 0.0000  6 Co 2.57-2.68



(3)
## HoGa5 (PBE)

Data for a relaxed structure of HoGa5.

Properties
Energy of formation from the pure elements   -0.287 eV/atom
SG   No. 65
ΔE to the lowest computed polymorph   0.0000 eV/atom
Crystal system   orthorhombic

a b c (Å): 4.3876 4.2434 6.5082
angles (deg): 109.03 90.00 90.00
Closest atoms and distances in Å follow each position.
Fractional positions:
1 Ga 0.5000 0.8273 0.6547  10 Ga 2.85-3.05, 2 Ho 3.05
2 Ga 0.5000 0.1727 0.3453  10 Ga 2.85-3.05, 2 Ho 3.05
3 Ga 0.0000 0.3221 0.6441  8 Ga 2.77-3.05, 2 Ho 3.05
4 Ga 0.0000 0.6779 0.3559  8 Ga 2.77-3.05, 2 Ho 3.05
5 Ga 0.5000 0.5000 0.0000  8 Ga 3.00-3.10, 4 Ho 3.05
6 Ho 0.0000 0.0000 0.0000  12 Ga 3.05



(4)
## CaFeCu (PBE)

Data for a relaxed structure of CaFeCu.

Properties
Energy of formation from the pure elements   0.587 eV/atom
SG   No. 216
Crystal system   cubic

a b c (Å): 4.4856 4.4856 4.4856
angles (deg): 60.00 60.00 60.00
Closest atoms and distances in Å follow each position.
Fractional positions:
1 Fe 0.0000 0.0000 0.0000  4 Cu 2.75
2 Cu 0.2500 0.2500 0.2500  4 Fe 2.75, 4 Ca 2.75
3 Ca 0.5000 0.5000 0.5000  4 Cu 2.75



(5)
## Er6MgC3 (PBE)

Data for a relaxed structure of Er6MgC3.

Properties
Energy of formation from the pure elements   -0.203 eV/atom
SG   No. 11
Crystal system   monoclinic

a b c (Å): 3.5400 11.2247 11.1927
angles (deg): 101.16 90.00 90.00
Closest atoms and distances in Å follow each position.
Fractional positions:
1 C 0.7500 0.4708 0.8562  6 Er 2.44-2.70
2 C 0.2500 0.5292 0.1438  6 Er 2.44-2.70
3 C 0.2500 0.8591 0.9524  5 Er 2.40-2.57
4 C 0.7500 0.6175 0.4392  6 Er 2.39-2.55
5 C 0.2500 0.3825 0.5608  6 Er 2.39-2.55
6 C 0.7500 0.1409 0.0476  5 Er 2.40-2.57
7 Er 0.7500 0.8136 0.8064  2 C 2.40
8 Er 0.2500 0.1864 0.1936  2 C 2.40
9 Er 0.7500 0.3908 0.0515  3 C 2.45-2.52
10 Er 0.2500 0.4677 0.3651  4 C 2.47-2.70
11 Er 0.7500 0.5323 0.6349  4 C 2.47-2.70
12 Er 0.7500 0.2454 0.4843  2 C 2.39
13 Er 0.7500 0.6643 0.2401  3 C 2.39-2.44
14 Er 0.2500 0.7546 0.5157  2 C 2.39
15 Er 0.2500 0.6092 0.9485  3 C 2.45-2.52
16 Er 0.7500 0.9264 0.0962  3 C 2.41-2.57
17 Er 0.2500 0.0736 0.9038  3 C 2.41-2.57
18 Er 0.2500 0.3357 0.7599  3 C 2.39-2.44
19 Mg 0.2500 0.9757 0.3686  6 Er 3.23-3.53, 4 Mg 3.39-3.54
20 Mg 0.7500 0.0243 0.6314  6 Er 3.23-3.53, 4 Mg 3.39-3.54



(6)
## CeGaSi2 (PBE)

Data for a relaxed structure of CeGaSi2.

Properties
SG   No. 38
Uncorrected formation energy   -0.302 eV/atom
Crystal system   orthorhombic

a b c (Å): 3.0201 5.3069 5.3069
angles (deg): 118.06 90.00 90.00
Closest atoms and distances in Å follow each position.
Fractional positions:
1 Ce 0.0000 0.0534 0.9466  2 Ce 3.02, 8 Si 3.05, 4 Ga 3.12
2 Ga 0.5000 0.5541 0.4459  4 Si 2.65
3 Si 0.5000 0.5530 0.9456  2 Ga 2.65, 2 Si 2.72-2.74
4 Si 0.5000 0.0544 0.4470  2 Ga 2.65, 2 Si 2.72-2.74



(7)
## ZrTa2S6 (PBE)

Data for a relaxed structure of ZrTa2S6.

Properties
SG   No. 12
Uncorrected formation energy   -0.903 eV/atom
Crystal system   monoclinic

a b c (Å): 4.4226 6.5113 8.0160
angles (deg): 73.84 73.99 70.15
Closest atoms and distances in Å follow each position.
Fractional positions:
1 S 0.3559 0.6684 0.6198  1 Ta 2.56, 2 Zr 2.68
2 S 0.7008 0.6478 0.9507  2 Ta 2.37
3 S 0.0317 0.1648 0.7718  2 Ta 2.33-2.46
4 S 0.9683 0.8352 0.2282  2 Ta 2.33-2.46
5 S 0.6441 0.3316 0.3802  1 Ta 2.56, 2 Zr 2.68
6 S 0.2992 0.3522 0.0493  2 Ta 2.37
7 Ta 0.1455 0.7914 0.9177  5 S 2.33-2.56
8 Ta 0.8545 0.2086 0.0823  5 S 2.33-2.56
9 Zr 0.0000 0.5000 0.5000  6 S 2.62-2.68



(8)
## Ho2Ga2Pb (PBE)

Data for a relaxed structure of Ho2Ga2Pb.

Properties
Energy of formation from the pure elements   -0.552 eV/atom
SG   No. 127
ΔE to the lowest computed polymorph   0.0025 eV/atom
Crystal system   tetragonal

a b c (Å): 4.3467 7.4041 7.4041
angles (deg): 90.00 90.00 90.00
Closest atoms and distances in Å follow each position.
Fractional positions:
1 Pb 0.0000 0.5000 0.5000  4 Ga 2.94
2 Pb 0.0000 0.0000 0.0000  4 Ga 2.94
3 Ga 0.0000 0.8784 0.6216  1 Ga 2.55
4 Ga 0.0000 0.1216 0.3784  1 Ga 2.55
5 Ga 0.0000 0.3784 0.8784  1 Ga 2.55
6 Ga 0.0000 0.6216 0.1216  1 Ga 2.55
7 Ho 0.5000 0.6720 0.8280  6 Ga 3.06-3.10
8 Ho 0.5000 0.3280 0.1720  6 Ga 3.06-3.10
9 Ho 0.5000 0.8280 0.3280  6 Ga 3.06-3.10
10 Ho 0.5000 0.1720 0.6720  6 Ga 3.06-3.10



(9)
## Ag4Pt3 (PBE)

Data for a relaxed structure of Ag4Pt3.

Properties
Energy of formation from the pure elements   0.027 eV/atom
SG   No. 8
ΔE to the lowest computed polymorph   0.0286 eV/atom
Crystal system   monoclinic

a b c (Å): 4.9973 4.9973 8.6497
angles (deg): 84.52 84.52 33.11
Closest atoms and distances in Å follow each position.
Fractional positions:
1 Ag 0.1379 0.1379 0.4241  8 Pt 2.83-2.90, 4 Ag 2.85-2.89
2 Ag 0.2881 0.2881 0.8543  8 Ag 2.85-2.96, 4 Pt 2.88
3 Ag 0.0064 0.0064 0.0096  5 Pt 2.84-2.87, 7 Ag 2.85-2.96
4 Ag 0.5694 0.5694 0.7118  9 Ag 2.85-2.95, 3 Pt 2.88-2.90
5 Pt 0.8555 0.8555 0.5665  4 Pt 2.79-2.85, 8 Ag 2.86-2.90
6 Pt 0.4201 0.4201 0.2916  7 Pt 2.79-3.05, 5 Ag 2.83-2.87
7 Pt 0.7225 0.7225 0.1422  5 Pt 2.79-3.05, 7 Ag 2.84-2.88



(10)
## PmNdTm2Hg4 (PBE)

Data for a relaxed structure of PmNdTm2Hg4.

Properties
Energy of formation from the pure elements   -0.463 eV/atom
SG   No. 166
Crystal system   trigonal

a b c (Å): 5.3126 5.3126 9.2040
angles (deg): 73.23 73.23 60.00
Closest atoms and distances in Å follow each position.
Fractional positions:
1 Hg 0.6246 0.6246 0.1262  1 Pm 3.24, 4 Tm 3.25-3.27, 3 Nd 3.26
2 Hg 0.1256 0.1256 0.6232  4 Tm 3.24-3.26, 3 Pm 3.25, 1 Nd 3.27
3 Hg 0.3754 0.3754 0.8738  1 Pm 3.24, 4 Tm 3.25-3.27, 3 Nd 3.26
4 Hg 0.8744 0.8744 0.3768  4 Tm 3.24-3.26, 3 Pm 3.25, 1 Nd 3.27
5 Nd 0.0000 0.0000 0.0000  8 Hg 3.26-3.27
6 Pm 0.5000 0.5000 0.5000  8 Hg 3.24-3.25
7 Tm 0.7501 0.7501 0.7497  8 Hg 3.24-3.27
8 Tm 0.2499 0.2499 0.2503  8 Hg 3.24-3.27



Calculated density for every record listed, in sequence, given in Mg/m³: 8.165, 7.626, 7.444, 4.149, 8.098, 5.885, 5.247, 9.429, 14.379, 11.191.
VASP energy for every record listed, in sequence, given in eV per atom: -5.284, -4.408, -3.573, -4.267, -5.868, -5.254, -7.238, -4.336, -4.191, -2.922.